[1]
Material: PmHoTlSn
Method: DFT, GGA-PBE
State: optimized geometry

The magnetic moment is 0.00 Bohr magnetons per cell. The calculation puts the volume at 27.93 Å³ per atom. The formation enthalpy at 0 K comes out at -466.5 meV/atom. Its space group is F-43m, No. 216.

a = 5.4059 Å, b = 5.4059 Å, c = 5.4059 Å
α = 60.00°, β = 60.00°, γ = 60.00°
Closest atoms and distances in Å follow each position.
Fractional coordinates of all 4 atoms:
Sn 0.2500 0.2500 0.2500  4 Pm 3.31, 4 Ho 3.31
Tl 0.7500 0.7500 0.7500  4 Pm 3.31, 4 Ho 3.31
Pm 0.5000 0.5000 0.5000  4 Sn 3.31, 4 Tl 3.31
Ho 0.0000 0.0000 0.0000  4 Tl 3.31, 4 Sn 3.31

---

[2]
Material: Tm5Tl2Ni
Method: DFT, GGA-PBE
State: optimized geometry

The value obtained for the energy above the most stable polymorph in this dataset is 0.00 kcal/mol of atoms. The magnetic moment is 0.00 Bohr magnetons per cell. The calculation puts the volume at 25.80 Å³ per atom. The formation enthalpy at 0 K comes out at -290.7 meV/atom. Its space group is Pbam, No. 55.

a = 4.7112 Å, b = 7.1425 Å, c = 12.2690 Å
α = 90.00°, β = 90.00°, γ = 90.00°
Closest atoms and distances in Å follow each position.
Fractional coordinates of all 16 atoms:
Tm 0.0000 0.8767 0.2084  1 Ni 2.70
Tm 0.5000 0.1775 0.0804  2 Ni 2.85, 1 Tl 3.19
Tm 0.0000 0.1233 0.7916  1 Ni 2.70
Tm 0.5000 0.8225 0.9196  2 Ni 2.85, 1 Tl 3.19
Tl 0.5000 0.8995 0.6627  9 Tm 3.12-3.38
Tl 0.5000 0.1005 0.3373  9 Tm 3.12-3.38
Tm 0.5000 0.6775 0.4196  2 Ni 2.85, 1 Tl 3.19
Tl 0.5000 0.6005 0.1627  9 Tm 3.12-3.38
Tm 0.0000 0.5000 0.0000  4 Tl 3.17, 4 Tm 3.44
Ni 0.0000 0.0000 0.0000  6 Tm 2.70-2.85
Tm 0.0000 0.0000 0.5000  4 Tl 3.17, 4 Tm 3.44
Tm 0.0000 0.6233 0.7084  1 Ni 2.70
Tl 0.5000 0.3995 0.8373  9 Tm 3.12-3.38
Tm 0.0000 0.3767 0.2916  1 Ni 2.70
Tm 0.5000 0.3225 0.5804  2 Ni 2.85, 1 Tl 3.19
Ni 0.0000 0.5000 0.5000  6 Tm 2.70-2.85

---

[3]
Material: NdScZn
Method: DFT, GGA-PBE
State: optimized geometry

The value obtained for the energy above the most stable polymorph in this dataset is 0.00 kcal/mol of atoms. The magnetic moment is 0.00 Bohr magnetons per cell. The calculation puts the volume at 24.67 Å³ per atom. The formation enthalpy at 0 K comes out at -184.7 meV/atom. Its space group is I4mm, No. 107.

a = 3.5119 Å, b = 3.5119 Å, c = 6.4941 Å
α = 105.69°, β = 105.69°, γ = 90.00°
Closest atoms and distances in Å follow each position.
Fractional coordinates of all 3 atoms:
Zn 0.6853 0.6853 0.3707  4 Sc 2.85
Sc 0.3027 0.3027 0.6054  4 Zn 2.85
Nd 0.0120 0.0120 0.0239  4 Zn 3.24, 5 Sc 3.49-3.53, 4 Nd 3.51

---

[4]
Material: CaLa2PtS
Method: DFT, GGA-PBE
State: optimized geometry

The magnetic moment is 0.00 Bohr magnetons per cell. The calculation puts the volume at 32.09 Å³ per atom. Its energy relative to the elements, uncorrected is 0.368 eV per atom. Its space group is P4/mmm, No. 123.

a = 5.7988 Å, b = 4.7713 Å, c = 5.7988 Å
α = 90.00°, β = 90.00°, γ = 90.00°
Closest atoms and distances in Å follow each position.
Fractional coordinates of all 5 atoms:
Pt 0.0000 0.5000 0.0000  2 Ca 2.39
Ca 0.0000 0.0000 0.0000  2 Pt 2.39
S 0.5000 0.5000 0.5000  8 La 3.75, 4 Pt 4.10
La 0.5000 0.0000 0.0000  2 Ca 2.90
La 0.0000 0.0000 0.5000  2 Ca 2.90